No. 1
DFT (GGA-PBE) results for MnPd5Au2 after structural relaxation.

abc: 5.6926 5.6926 7.8849
angles: 90.00 90.00 90.00
Positions (direct):
Mn (0.0000, 0.0000, 0.0000)
Mn (0.5000, 0.5000, 0.5000)
Pd (0.0000, 0.0000, 0.5000)
Pd (0.2500, 0.2500, 0.2500)
Pd (0.2500, 0.2500, 0.7500)
Pd (0.2500, 0.7500, 0.2500)
Pd (0.2500, 0.7500, 0.7500)
Pd (0.5000, 0.5000, 0.0000)
Pd (0.7500, 0.2500, 0.2500)
Pd (0.7500, 0.2500, 0.7500)
Pd (0.7500, 0.7500, 0.2500)
Pd (0.7500, 0.7500, 0.7500)
Au (0.0000, 0.5000, 0.0000)
Au (0.0000, 0.5000, 0.5000)
Au (0.5000, 0.0000, 0.0000)
Au (0.5000, 0.0000, 0.5000)

The value obtained for the volume is 16.0 A^3/atom. The value obtained for the formation energy is -0.135 eV/atom. As for the density of states at the Fermi level: 16.969 states/eV per cell. As for the polymorph energy (0 for the lowest one): 0.0 meV/atom. As for the space group: I4/mmm (139).

No. 2
DFT (GGA-PBE) results for Mn2Pd3Au6 after structural relaxation.

abc: 13.6996 13.6996 13.6996
angles: 163.59 163.59 23.28
Positions (direct):
Mn (0.1459, 0.1459, 0.0000)
Mn (0.8541, 0.8541, 0.0000)
Pd (0.3453, 0.3453, 0.0000)
Pd (0.5000, 0.5000, 0.0000)
Pd (0.6547, 0.6547, 0.0000)
Au (0.0731, 0.5731, 0.5000)
Au (0.2430, 0.2430, 0.0000)
Au (0.4269, 0.9269, 0.5000)
Au (0.5731, 0.0731, 0.5000)
Au (0.7570, 0.7570, 0.0000)
Au (0.9269, 0.4269, 0.5000)

The value obtained for the volume is 18.6 A^3/atom. The value obtained for the formation energy is 0.084 eV/atom. As for the density of states at the Fermi level: 3.964 states/eV per cell. As for the polymorph energy (0 for the lowest one): 216.6 meV/atom. As for the space group: I4/mmm (139).

No. 3
DFT (GGA-PBE) results for Mn2PdAu2 after structural relaxation.

abc: 7.3765 7.3765 3.1508
angles: 90.00 90.00 90.00
Positions (direct):
Mn (0.1501, 0.3499, 0.0000)
Mn (0.3499, 0.8499, 0.0000)
Mn (0.6501, 0.1501, 0.0000)
Mn (0.8499, 0.6501, 0.0000)
Pd (0.0000, 0.0000, 0.0000)
Pd (0.5000, 0.5000, 0.0000)
Au (0.1475, 0.6475, 0.5000)
Au (0.3525, 0.1475, 0.5000)
Au (0.6475, 0.8525, 0.5000)
Au (0.8525, 0.3525, 0.5000)

The value obtained for the volume is 17.1 A^3/atom. The value obtained for the formation energy is 0.060 eV/atom. As for the density of states at the Fermi level: 4.102 states/eV per cell. As for the polymorph energy (0 for the lowest one): 147.4 meV/atom. As for the space group: P4/mbm (127).

No. 4
DFT (GGA-PBE) results for MnPd4Au7 after structural relaxation.

abc: 5.0003 5.7728 7.5773
angles: 101.23 109.13 90.04
Positions (direct):
Mn (0.0000, 0.0000, 0.0000)
Pd (0.9998, 0.3266, 0.3264)
Pd (0.0002, 0.6734, 0.6736)
Pd (0.4931, 0.0805, 0.3287)
Pd (0.5069, 0.9195, 0.6713)
Au (0.0000, 0.5000, 0.0000)
Au (0.0045, 0.8356, 0.3349)
Au (0.4921, 0.4169, 0.6616)
Au (0.4986, 0.7548, 0.9982)
Au (0.5014, 0.2452, 0.0018)
Au (0.5079, 0.5831, 0.3384)
Au (0.9955, 0.1644, 0.6651)

The value obtained for the volume is 16.8 A^3/atom. The value obtained for the formation energy is -0.107 eV/atom. As for the density of states at the Fermi level: 4.422 states/eV per cell. As for the polymorph energy (0 for the lowest one): 0.0 meV/atom. As for the space group: P-1 (2).

No. 5
DFT (GGA-PBE) results for Mn4Pd7Au after structural relaxation.

abc: 4.9467 5.5237 7.2779
angles: 78.34 72.72 89.75
Positions (direct):
Mn (0.1789, 0.1618, 0.3265)
Mn (0.3148, 0.5724, 0.6761)
Mn (0.6852, 0.4276, 0.3239)
Mn (0.8211, 0.8382, 0.6735)
Pd (0.0011, 0.7497, 0.9962)
Pd (0.1797, 0.6571, 0.3435)
Pd (0.3214, 0.0848, 0.6537)
Pd (0.5000, 0.5000, 0.0000)
Pd (0.6786, 0.9152, 0.3463)
Pd (0.8203, 0.3429, 0.6565)
Pd (0.9989, 0.2503, 0.0038)
Au (0.5000, 0.0000, 0.0000)

The value obtained for the volume is 15.5 A^3/atom. The value obtained for the formation energy is -0.171 eV/atom. As for the density of states at the Fermi level: 6.024 states/eV per cell. As for the polymorph energy (0 for the lowest one): 0.0 meV/atom. As for the space group: P-1 (2).

No. 6
DFT (GGA-PBE) results for MnPd2Au2 after structural relaxation.

abc: 4.9332 4.9332 9.0819
angles: 90.18 90.18 47.59
Positions (direct):
Mn (0.2452, 0.2452, 0.2444)
Mn (0.7548, 0.7548, 0.7556)
Pd (0.3492, 0.3492, 0.9484)
Pd (0.4493, 0.4493, 0.6529)
Pd (0.5507, 0.5507, 0.3471)
Pd (0.6508, 0.6508, 0.0516)
Au (0.0530, 0.0530, 0.8502)
Au (0.1507, 0.1507, 0.5509)
Au (0.8493, 0.8493, 0.4491)
Au (0.9470, 0.9470, 0.1498)

The value obtained for the volume is 16.3 A^3/atom. The value obtained for the formation energy is -0.170 eV/atom. As for the density of states at the Fermi level: 4.924 states/eV per cell. As for the polymorph energy (0 for the lowest one): 0.0 meV/atom. As for the space group: C2/m (12).

No. 7
DFT (GGA-PBE) results for MnPd2Au after structural relaxation.

abc: 6.3556 6.3556 6.3556
angles: 90.00 90.00 90.00
Positions (direct):
Mn (0.0000, 0.0000, 0.0000)
Mn (0.0000, 0.5000, 0.5000)
Mn (0.5000, 0.0000, 0.5000)
Mn (0.5000, 0.5000, 0.0000)
Pd (0.2500, 0.2500, 0.2500)
Pd (0.2500, 0.2500, 0.7500)
Pd (0.2500, 0.7500, 0.2500)
Pd (0.2500, 0.7500, 0.7500)
Pd (0.7500, 0.2500, 0.2500)
Pd (0.7500, 0.2500, 0.7500)
Pd (0.7500, 0.7500, 0.2500)
Pd (0.7500, 0.7500, 0.7500)
Au (0.0000, 0.0000, 0.5000)
Au (0.0000, 0.5000, 0.0000)
Au (0.5000, 0.0000, 0.0000)
Au (0.5000, 0.5000, 0.5000)

The value obtained for the volume is 16.0 A^3/atom. The value obtained for the formation energy is -0.186 eV/atom. As for the density of states at the Fermi level: 4.833 states/eV per cell. As for the space group: Fm-3m (225).

No. 8
DFT (GGA-PBE) results for Mn4Pd5Au after structural relaxation.

abc: 7.4423 7.4423 5.4974
angles: 106.26 106.26 32.08
Positions (direct):
Mn (0.0949, 0.0949, 0.3399)
Mn (0.2991, 0.2991, 0.8809)
Mn (0.7009, 0.7009, 0.1191)
Mn (0.9051, 0.9051, 0.6601)
Pd (0.1093, 0.1093, 0.8416)
Pd (0.2944, 0.2944, 0.3824)
Pd (0.5000, 0.5000, 0.5000)
Pd (0.7056, 0.7056, 0.6176)
Pd (0.8907, 0.8907, 0.1584)
Au (0.5000, 0.5000, 0.0000)

The value obtained for the volume is 15.5 A^3/atom. The value obtained for the formation energy is -0.210 eV/atom. As for the density of states at the Fermi level: 3.619 states/eV per cell. As for the polymorph energy (0 for the lowest one): 0.0 meV/atom. As for the space group: C2/m (12).